Record 1
Compound: NaZnGa2
Source: Alexandria
Functional: PBE
Structure: optimized geometry

The energy is -2.04 eV per atom. The formation energy is 0.120 eV per atom.

The structure belongs to space group I-42d (No. 122); the cell edges are 4.632, 4.632 and 18.036 Å and the angles 90.00°, 90.00° and 90.00°. The inequivalent atoms are Na at (0.000, 0.000, 0.000), Zn at (0.000, 0.000, 0.500) and Ga at (0.117, 0.250, 0.625).

---

Record 2
Compound: NaZn2Ga3
Source: Alexandria
Functional: PBE
Structure: optimized geometry

Its relative energy among the computed polymorphs is 0.0000 eV per atom. The energy is -2.21 eV per atom. The formation energy is -0.050 eV per atom.

The structure belongs to space group Cmcm (No. 63); the cell edges are 10.690, 8.880 and 5.079 Å and the angles 90.00°, 90.00° and 90.00°. The inequivalent atoms are Na at (0.000, 0.183, 0.250), Zn at (0.247, 0.500, 0.000), Ga at (0.000, 0.442, 0.750) and Ga at (0.183, 0.241, 0.750).

---

Record 3
Compound: Na2ZnGa10
Source: Alexandria
Functional: PBE
Structure: optimized geometry

The energy is -2.67 eV per atom. The formation energy is -0.038 eV per atom.

The structure belongs to space group P2_1/c (No. 14); the cell edges are 6.162, 5.695 and 15.999 Å and the angles 90.00°, 111.73° and 90.00°. The inequivalent atoms are Na at (0.250, 0.175, 0.138), Zn at (0.500, 0.000, 0.500), Ga at (0.026, 0.675, 0.059), Ga at (0.186, 0.572, 0.841), Ga at (0.234, 0.577, 0.252), Ga at (0.279, 0.534, 0.450) and Ga at (0.488, 0.725, 0.150).

---

Record 4
Compound: NaZn4Ga4
Source: Alexandria
Functional: PBE
Structure: optimized geometry

The energy is -2.02 eV per atom. The formation energy is 0.038 eV per atom.

The structure belongs to space group P4_2/n (No. 86, origin choice 2); the cell edges are 8.508, 8.508 and 5.267 Å and the angles 90.00°, 90.00° and 90.00°. The inequivalent atoms are Na at (0.250, 0.250, 0.250), Zn at (0.086, 0.907, 0.131) and Ga at (0.105, 0.607, 0.127).

---

Record 5
Compound: NaZnGa4
Source: Alexandria
Functional: PBE
Structure: optimized geometry

Its relative energy among the computed polymorphs is 0.0665 eV per atom. The energy is -2.44 eV per atom. The formation energy is 0.005 eV per atom.

The structure belongs to space group F-43m (No. 216); the cell edges are 7.812, 7.812 and 7.812 Å and the angles 90.00°, 90.00° and 90.00°. The inequivalent atoms are Na at (0.000, 0.000, 0.000), Zn at (0.250, 0.250, 0.250) and Ga at (0.125, 0.125, 0.625).

---

Record 6
Compound: Na2Zn7Ga12
Source: Alexandria
Functional: PBE
Structure: optimized geometry

The energy is -2.30 eV per atom. The formation energy is -0.016 eV per atom.

The structure belongs to space group P-3 (No. 147); the cell edges are 10.4462, 10.4462 and 4.2015 Å and the angles 90.00°, 90.00° and 120.00°. The inequivalent atoms are Na at (0.3333, 0.6667, 0.2322), Zn at (0.0000, 0.0000, 0.5000), Zn at (0.1266, 0.7096, 0.7230), Ga at (0.0496, 0.4313, 0.7605) and Ga at (0.1158, 0.2578, 0.2166).

---

Record 7
Compound: Na2Zn5Ga4
Source: Alexandria
Functional: PBE
Structure: optimized geometry

The energy is -1.93 eV per atom. The formation energy is -0.010 eV per atom.

The structure belongs to space group Fmmm (No. 69); the cell edges are 5.460, 9.549 and 16.679 Å and the angles 90.00°, 90.00° and 90.00°. The inequivalent atoms are Na at (0.000, 0.000, 0.123), Zn at (0.000, 0.000, 0.500), Zn at (0.250, 0.250, 0.000), Zn at (0.250, 0.250, 0.250) and Ga at (0.000, 0.154, 0.370).

---

Record 8
Compound: Na3Zn4Ga2
Source: Alexandria
Functional: PBE
Structure: optimized geometry

Its relative energy among the computed polymorphs is 0.0000 eV per atom. The energy is -1.73 eV per atom. The formation energy is -0.055 eV per atom.

The structure belongs to space group C2/m (No. 12); the cell edges are 10.939, 4.329 and 8.661 Å and the angles 90.00°, 105.19° and 90.00°. The inequivalent atoms are Na at (0.000, 0.000, 0.000), Na at (0.126, 0.500, 0.375), Zn at (0.081, 0.000, 0.633), Zn at (0.243, 0.500, 0.079) and Ga at (0.183, 0.500, 0.762).

---

Record 9
Compound: Na2Zn2Ga
Source: Alexandria
Functional: PBE
Structure: optimized geometry

Its relative energy among the computed polymorphs is 0.0152 eV per atom. The energy is -1.68 eV per atom. The formation energy is -0.038 eV per atom.

The structure belongs to space group C2/c (No. 15); the cell edges are 9.426, 5.738 and 8.346 Å and the angles 90.00°, 100.24° and 90.00°. The inequivalent atoms are Na at (0.152, 0.119, 0.165), Zn at (0.128, 0.366, 0.502) and Ga at (0.000, 0.393, 0.750).

---

Record 10
Compound: NaZnGa2
Source: Alexandria
Functional: PBE
Structure: optimized geometry

The energy is -2.19 eV per atom. The formation energy is -0.031 eV per atom.

The structure belongs to space group R-3m (No. 166, hexagonal axes); the cell edges are 4.3025, 4.3025 and 16.4662 Å and the angles 90.00°, 90.00° and 120.00°. The inequivalent atoms are Na at (0.0000, 0.0000, 0.0000), Zn at (0.0000, 0.0000, 0.5000) and Ga at (0.0000, 0.0000, 0.2161).

---

Record 11
Compound: NaZn3Ga3
Source: Alexandria
Functional: PBE
Structure: optimized geometry

Its relative energy among the computed polymorphs is 0.2362 eV per atom. The energy is -1.75 eV per atom. The formation energy is 0.277 eV per atom.

The structure belongs to space group Fm-3m (No. 225); the cell edges are 12.194, 12.194 and 12.194 Å and the angles 90.00°, 90.00° and 90.00°. The inequivalent atoms are Na at (0.250, 0.250, 0.250), Zn at (0.000, 0.000, 0.152) and Ga at (0.000, 0.000, 0.347).

---

Record 12
Compound: Na3Zn7Ga2
Source: Alexandria
Functional: PBE
Structure: optimized geometry

The energy is -1.62 eV per atom. The formation energy is -0.040 eV per atom.

The structure belongs to space group R-3m (No. 166, hexagonal axes); the cell edges are 5.4294, 5.4294 and 26.4047 Å and the angles 90.00°, 90.00° and 120.00°. The inequivalent atoms are Na at (0.0000, 0.0000, 0.0000), Na at (0.0000, 0.0000, 0.1440), Zn at (0.0000, 0.0000, 0.5000), Zn at (0.0045, 0.5023, 0.9152) and Ga at (0.0000, 0.0000, 0.3343).